Entry 1:
A plane-wave DFT calculation with GGA-PBE was carried out for an optimized crystal structure of PmCuAg4.

a b c (Å): 5.541 5.541 5.541
angles (deg): 60.00 60.00 60.00
Positions (direct):
Pm 0.000 0.000 0.000
Cu 0.750 0.750 0.750
Ag 0.376 0.376 0.376
Ag 0.376 0.376 0.873
Ag 0.376 0.873 0.376
Ag 0.873 0.376 0.376

Properties
energy relative to the elements = -0.023 eV per atom
N(E_F) = 6.92 states/eV/f.u.

Entry 2:
A plane-wave DFT calculation with GGA-PBE was carried out for an optimized crystal structure of PmCu5Ag7.

a b c (Å): 7.010 7.010 7.010
angles (deg): 136.88 98.51 97.02
Positions (direct):
Pm 0.000 0.000 0.000
Cu 0.213 0.713 0.500
Cu 0.482 0.490 0.494
Cu 0.482 0.988 0.991
Cu 0.997 0.490 0.009
Cu 0.997 0.988 0.506
Ag 0.202 0.492 0.710
Ag 0.335 0.987 0.348
Ag 0.340 0.340 0.000
Ag 0.639 0.987 0.652
Ag 0.645 0.645 0.000
Ag 0.768 0.268 0.500
Ag 0.782 0.492 0.290

Properties
energy relative to the elements = -0.039 eV per atom
N(E_F) = 5.78 states/eV/f.u.

Entry 3:
A plane-wave DFT calculation with GGA-PBE was carried out for an optimized crystal structure of PmCu8Ag3.

a b c (Å): 8.728 8.728 8.728
angles (deg): 33.47 33.47 33.47
Positions (direct):
Pm 0.000 0.000 0.000
Cu 0.186 0.186 0.186
Cu 0.435 0.435 0.931
Cu 0.435 0.931 0.435
Cu 0.442 0.938 0.938
Cu 0.688 0.688 0.688
Cu 0.931 0.435 0.435
Cu 0.938 0.442 0.938
Cu 0.938 0.938 0.442
Ag 0.382 0.382 0.382
Ag 0.500 0.500 0.500
Ag 0.872 0.872 0.872

Properties
energy relative to the elements = -0.047 eV per atom
N(E_F) = 6.56 states/eV/f.u.